1.
Rb2TlTeO4: relaxed, GGA-PBE.

Structure (POSCAR):
```
Rb2TlTeO4
1.0
5.1640 -4.9664 0.0000
5.1640 4.9664 0.0000
-4.4055 0.0000 5.9282
Rb Tl Te O
4 2 2 8
direct
0.0000 0.0000 0.0000
0.0000 0.0000 0.5000
0.0000 0.5000 0.0000
0.5000 0.0000 0.5000
0.5000 0.5000 0.0000
0.5000 0.5000 0.5000
0.0000 0.5000 0.5000
0.5000 0.0000 0.0000
0.2180 0.6747 0.4730
0.2717 0.3439 0.6087
0.3253 0.7820 0.0270
0.3439 0.2717 0.1087
0.6561 0.7283 0.8913
0.6747 0.2180 0.9730
0.7283 0.6561 0.3913
0.7820 0.3253 0.5270
```

Calculated values
Formation energy from raw total energies ... -0.910 eV per atom
E_tot ... -4.319 eV per atom

***

2.
Rb3TmTe2O9: relaxed, GGA-PBE.

Structure (POSCAR):
```
Rb3TmTe2O9
1.0
5.8875 0.0000 0.0000
-2.9438 5.0988 0.0000
0.0000 0.0000 7.2227
Rb Tm Te O
3 1 2 9
direct
0.0000 0.0000 0.0000
0.3333 0.6667 0.6672
0.6667 0.3333 0.3328
0.0000 0.0000 0.5000
0.3333 0.6667 0.1707
0.6667 0.3333 0.8293
0.0000 0.5000 0.0000
0.1767 0.3533 0.3168
0.1767 0.8233 0.3168
0.3533 0.1767 0.6832
0.5000 0.0000 0.0000
0.5000 0.5000 0.0000
0.6467 0.8233 0.3168
0.8233 0.1767 0.6832
0.8233 0.6467 0.6832
```

Calculated values
Formation energy from raw total energies ... -1.632 eV per atom
E_tot ... -5.518 eV per atom

***

3.
RbTm3Te4O12: relaxed, GGA-PBE.

Structure (POSCAR):
```
RbTm3Te4O12
1.0
5.7427 3.3155 3.0523
-5.7427 3.3155 3.0523
0.0000 -6.6311 3.0523
Rb Tm Te O
1 3 4 12
direct
0.0000 0.0000 0.0000
0.0000 0.5754 0.4246
0.4246 0.0000 0.5754
0.5754 0.4246 0.0000
0.0935 0.5000 0.9065
0.5000 0.5000 0.5000
0.5000 0.9065 0.0935
0.9065 0.0935 0.5000
0.0622 0.2926 0.4002
0.0753 0.9247 0.5000
0.2926 0.4002 0.0622
0.3212 0.6788 0.5000
0.4002 0.0622 0.2926
0.5000 0.0753 0.9247
0.5000 0.3212 0.6788
0.5998 0.7074 0.9378
0.6788 0.5000 0.3212
0.7074 0.9378 0.5998
0.9247 0.5000 0.0753
0.9378 0.5998 0.7074
```

Calculated values
Formation energy from raw total energies ... -1.821 eV per atom
E_tot ... -6.143 eV per atom

***

4.
Rb2TmTe2O6: relaxed, GGA-PBE.

Structure (POSCAR):
```
Rb2TmTe2O6
1.0
5.3284 -3.0256 0.0000
5.3284 3.0256 0.0000
-5.0378 0.0000 7.1996
Rb Tm Te O
2 1 2 6
direct
0.0745 0.0745 0.3092
0.9255 0.9255 0.6908
0.5000 0.5000 0.5000
0.3157 0.3157 0.8066
0.6843 0.6843 0.1934
0.0642 0.6017 0.3261
0.3983 0.9358 0.6739
0.4020 0.4020 0.6674
0.5980 0.5980 0.3326
0.6017 0.0642 0.3261
0.9358 0.3983 0.6739
```

Calculated values
Formation energy from raw total energies ... -1.734 eV per atom
E_tot ... -5.592 eV per atom

***

5.
Rb2TmTe3O12: relaxed, GGA-PBE.

Structure (POSCAR):
```
Rb2TmTe3O12
1.0
3.7015 2.1371 6.2034
-3.7015 2.1371 6.2034
0.0000 -4.2741 6.2034
Rb Tm Te O
2 1 3 12
direct
0.1238 0.1238 0.1238
0.8762 0.8762 0.8762
0.5000 0.5000 0.5000
0.0000 0.5000 0.5000
0.5000 0.0000 0.5000
0.5000 0.5000 0.0000
0.1495 0.5750 0.5750
0.1831 0.1831 0.5809
0.1831 0.5809 0.1831
0.4191 0.8169 0.8169
0.4250 0.4250 0.8505
0.4250 0.8505 0.4250
0.5750 0.1495 0.5750
0.5750 0.5750 0.1495
0.5809 0.1831 0.1831
0.8169 0.4191 0.8169
0.8169 0.8169 0.4191
0.8505 0.4250 0.4250
```

Calculated values
Formation energy from raw total energies ... -1.481 eV per atom
E_tot ... -5.666 eV per atom

***

6.
RbTmTe2O8: relaxed, GGA-PBE.

Structure (POSCAR):
```
RbTmTe2O8
1.0
5.8207 0.0000 0.0000
-2.9103 5.0409 0.0000
0.0000 0.0000 8.4291
Rb Tm Te O
1 1 2 8
direct
0.0000 0.0000 0.0000
0.0000 0.0000 0.5000
0.3333 0.6667 0.7357
0.6667 0.3333 0.2643
0.0895 0.3342 0.6611
0.2447 0.9105 0.6611
0.3333 0.6667 0.9513
0.3342 0.2447 0.3389
0.6658 0.7553 0.6611
0.6667 0.3333 0.0487
0.7553 0.0895 0.3389
0.9105 0.6658 0.3389
```

Calculated values
Formation energy from raw total energies ... -1.595 eV per atom
E_tot ... -5.877 eV per atom

***

7.
Rb2UTeO6: relaxed, GGA-PBE.

Structure (POSCAR):
```
Rb2UTeO6
1.0
0.0000 4.3134 4.3134
4.3134 0.0000 4.3134
4.3134 4.3134 0.0000
Rb U Te O
2 1 1 6
direct
0.2500 0.2500 0.2500
0.7500 0.7500 0.7500
0.0000 0.0000 0.0000
0.5000 0.5000 0.5000
0.2446 0.2446 0.7554
0.2446 0.7554 0.2446
0.2446 0.7554 0.7554
0.7554 0.2446 0.2446
0.7554 0.2446 0.7554
0.7554 0.7554 0.2446
```

Calculated values
Formation energy from raw total energies ... -2.107 eV per atom
E_tot ... -6.719 eV per atom

***

8.
Rb2UTe3O12: relaxed, GGA-PBE.

Structure (POSCAR):
```
Rb2UTe3O12
1.0
3.7506 2.1654 6.3778
-3.7506 2.1654 6.3778
0.0000 -4.3308 6.3778
Rb U Te O
2 1 3 12
direct
0.1135 0.1135 0.1135
0.8865 0.8865 0.8865
0.5000 0.5000 0.5000
0.0000 0.5000 0.5000
0.5000 0.0000 0.5000
0.5000 0.5000 0.0000
0.1748 0.5670 0.5670
0.1836 0.1836 0.5740
0.1836 0.5741 0.1836
0.4259 0.8164 0.8164
0.4330 0.4330 0.8252
0.4330 0.8252 0.4330
0.5670 0.1748 0.5670
0.5670 0.5670 0.1748
0.5741 0.1836 0.1836
0.8164 0.4259 0.8164
0.8164 0.8164 0.4259
0.8252 0.4330 0.4330
```

Calculated values
Formation energy from raw total energies ... -1.644 eV per atom
E_tot ... -6.208 eV per atom